Below is crystalline Ta2AgSe at its relaxed geometry, with properties calculated at the PBE level.

Values from the calculation:
Crystal system ... tetragonal
D(E_F) ... 2.8 states/eV/f.u.
DFT total energy ... -29.91 eV/cell
SG ... No. 99
Density ... 11.88 g cm⁻³

Unit cell a=3.0411 b=3.0411 c=8.2915 alpha=90.00 beta=90.00 gamma=90.00
Closest atoms and distances in Å follow each position.
Positions (direct):
Ta1 0.0000 0.0000 0.0000  4 Se 2.66
Ta2 0.5000 0.5000 0.2611  4 Ag 2.97, 8 Ta 3.04-3.05
Ag1 0.0000 0.0000 0.5083  4 Ta 2.97, 4 Ag 3.04, 4 Se 3.31
Se1 0.5000 0.5000 0.8113  4 Ta 2.66